(1)
{"formula": "TiRe2H", "functional": "PBE-GGA", "state": "relaxed", "dft_energy_ev_per_cell": -68.73, "sg": "I4_1/amd, No. 141", "de_polymorph_mev_per_atom": 0, "crystal_system": "tetragonal", "cell": [[-2.698, 2.698, 3.806], [2.698, -2.698, 3.806], [2.698, 2.698, -3.806]], "species": ["Ti", "Ti", "Re", "Re", "Re", "Re", "H", "H"], "fractional_positions": [[0.375, 0.625, 0.750], [0.625, 0.375, 0.250], [0.000, 0.000, 0.000], [0.000, 0.000, 0.500], [0.000, 0.500, 0.000], [0.500, 0.000, 0.500], [0.125, 0.875, 0.250], [0.875, 0.125, 0.750]]}

---

(2)
{"formula": "Ti3ReH", "functional": "PBE-GGA", "state": "relaxed", "dft_energy_ev_per_cell": -40.15, "sg": "Pm-3m, No. 221", "de_polymorph_mev_per_atom": 0, "crystal_system": "cubic", "cell": [[4.041, 0.000, 0.000], [0.000, 4.041, 0.000], [0.000, 0.000, 4.041]], "species": ["Ti", "Ti", "Ti", "Re", "H"], "fractional_positions": [[0.000, 0.000, 0.500], [0.000, 0.500, 0.000], [0.500, 0.000, 0.000], [0.500, 0.500, 0.500], [0.000, 0.000, 0.000]]}

---

(3)
{"formula": "Zr2TiReH", "functional": "PBE-GGA", "state": "relaxed", "dft_energy_ev_per_cell": -41.54, "sg": "P4/mmm, No. 123", "crystal_system": "tetragonal", "cell": [[4.639, 0.000, 0.000], [0.000, 4.639, 0.000], [0.000, 0.000, 3.595]], "species": ["Zr", "Zr", "Ti", "Re", "H"], "fractional_positions": [[0.000, 0.500, 0.000], [0.500, 0.000, 0.000], [0.000, 0.000, 0.500], [0.500, 0.500, 0.500], [0.000, 0.000, 0.000]]}

---

(4)
{"formula": "TlReH2", "functional": "PBE-GGA", "state": "relaxed", "dft_energy_ev_per_cell": -15.40, "sg": "Fm-3m, No. 225", "de_polymorph_mev_per_atom": 909, "crystal_system": "cubic", "cell": [[0.000, 2.837, 2.837], [2.837, 0.000, 2.837], [2.837, 2.837, 0.000]], "species": ["Tl", "Re", "H", "H"], "fractional_positions": [[0.000, 0.000, 0.000], [0.500, 0.500, 0.500], [0.250, 0.250, 0.250], [0.750, 0.750, 0.750]]}

---

(5)
{"formula": "Tl2ReH", "functional": "PBE-GGA", "state": "relaxed", "dft_energy_ev_per_cell": -14.85, "sg": "Fm-3m, No. 225", "de_polymorph_mev_per_atom": 203, "crystal_system": "cubic", "cell": [[0.000, 3.377, 3.377], [3.377, 0.000, 3.377], [3.377, 3.377, 0.000]], "species": ["Tl", "Tl", "Re", "H"], "fractional_positions": [[0.250, 0.250, 0.250], [0.750, 0.750, 0.750], [0.000, 0.000, 0.000], [0.500, 0.500, 0.500]]}

---

(6)
{"formula": "Tl3ReH", "functional": "PBE-GGA", "state": "relaxed", "dft_energy_ev_per_cell": -17.99, "sg": "Pm-3m, No. 221", "de_polymorph_mev_per_atom": 0, "crystal_system": "cubic", "cell": [[5.345, 0.000, 0.000], [0.000, 5.345, 0.000], [0.000, 0.000, 5.345]], "species": ["Tl", "Tl", "Tl", "Re", "H"], "fractional_positions": [[0.000, 0.000, 0.500], [0.000, 0.500, 0.000], [0.500, 0.000, 0.000], [0.000, 0.000, 0.000], [0.500, 0.500, 0.500]]}

---

(7)
{"formula": "TlReH3", "functional": "PBE-GGA", "state": "relaxed", "dft_energy_ev_per_cell": -15.48, "sg": "Pm-3m, No. 221", "de_polymorph_mev_per_atom": 1276, "crystal_system": "cubic", "cell": [[3.791, 0.000, 0.000], [0.000, 3.791, 0.000], [0.000, 0.000, 3.791]], "species": ["Tl", "Re", "H", "H", "H"], "fractional_positions": [[0.000, 0.000, 0.000], [0.500, 0.500, 0.500], [0.000, 0.000, 0.500], [0.000, 0.500, 0.000], [0.500, 0.000, 0.000]]}

---

(8)
{"formula": "Tl2ReH", "functional": "PBE-GGA", "state": "relaxed", "dft_energy_ev_per_cell": -31.32, "sg": "I-42d, No. 122", "de_polymorph_mev_per_atom": 0, "crystal_system": "tetragonal", "cell": [[-3.341, 3.341, 3.124], [3.341, -3.341, 3.124], [3.341, 3.341, -3.124]], "species": ["Tl", "Tl", "Tl", "Tl", "Re", "Re", "H", "H"], "fractional_positions": [[0.054, 0.625, 0.929], [0.375, 0.304, 0.429], [0.696, 0.125, 0.071], [0.875, 0.946, 0.571], [0.250, 0.750, 0.500], [0.500, 0.500, 0.000], [0.000, 0.000, 0.000], [0.750, 0.250, 0.500]]}